#a
First-principles (GGA-PBE) data for a relaxed RbHg4Au4 crystal, as listed in Alexandria.

a b c (Å): 6.577 6.577 10.254
angles (deg): 90.00 90.00 90.00
Fractional coordinates of all 18 atoms:
Rb  0.000  0.000  0.000
Rb  0.500  0.500  0.500
Hg  0.500  0.776  0.796
Hg  0.500  0.224  0.796
Hg  0.776  0.500  0.204
Hg  0.224  0.500  0.204
Hg  0.276  0.000  0.296
Hg  0.724  0.000  0.296
Hg  0.000  0.276  0.704
Hg  0.000  0.724  0.704
Au  0.214  0.500  0.922
Au  0.786  0.500  0.922
Au  0.500  0.786  0.078
Au  0.500  0.214  0.078
Au  0.000  0.714  0.422
Au  0.000  0.286  0.422
Au  0.286  0.000  0.578
Au  0.714  0.000  0.578

Results
Crystal system = tetragonal
V = 222 Å³/f.u.



#b
First-principles (GGA-PBE) data for a relaxed RbHg4Au4 crystal, as listed in Alexandria.

a b c (Å): 5.545 9.605 9.605
angles (deg): 90.00 90.00 90.00
Fractional coordinates of all 18 atoms:
Rb  0.000  0.000  0.000
Rb  0.500  0.500  0.500
Hg  0.399  0.367  0.870
Hg  0.899  0.630  0.867
Hg  0.399  0.633  0.130
Hg  0.101  0.133  0.630
Hg  0.601  0.870  0.633
Hg  0.101  0.867  0.370
Hg  0.899  0.370  0.133
Hg  0.601  0.130  0.367
Au  0.595  0.834  0.326
Au  0.595  0.166  0.674
Au  0.095  0.826  0.666
Au  0.905  0.334  0.826
Au  0.905  0.666  0.174
Au  0.405  0.326  0.166
Au  0.405  0.674  0.834
Au  0.095  0.174  0.334

Results
Crystal system = tetragonal
V = 256 Å³/f.u.



#a is the most stable structure; the next one sits 0.006 eV/atom above it.